(1)
PBE Sc2TcBr, optimized geometry; DOS(E_F) = 0.6308 states/eV per atom; space-group type = No. 216; energy relative to the elements, uncorrected = 8.1 kcal/mol of atoms
1.0
4.741 0.000 0.000
2.370 4.106 0.000
2.370 1.369 3.871
Sc Br Tc
2 1 1
direct
0.250 0.250 0.250
0.000 0.000 0.000
0.500 0.500 0.500
0.750 0.750 0.750

***

(2)
PBE ScTcBr, optimized geometry; DOS(E_F) = 1.0039 states/eV per atom; space-group type = No. 216; energy relative to the elements, uncorrected = 17.0 kcal/mol of atoms
1.0
4.518 0.000 0.000
2.259 3.913 0.000
2.259 1.304 3.689
Tc Sc Br
1 1 1
direct
0.000 0.000 0.000
0.250 0.250 0.250
0.500 0.500 0.500

***

(3)
PBE Sc2TcBr, optimized geometry; DOS(E_F) = 0.6963 states/eV per atom; space-group type = No. 225; energy relative to the elements, uncorrected = 0.1 kcal/mol of atoms
1.0
0.000 3.371 3.371
3.371 0.000 3.371
3.371 3.371 0.000
Br Sc Tc
1 2 1
direct
0.000 0.000 0.000
0.250 0.250 0.250
0.750 0.750 0.750
0.500 0.500 0.500

***

(4)
PBE ScTcBr, optimized geometry; DOS(E_F) = 1.3402 states/eV per atom; space-group type = No. 187; energy relative to the elements, uncorrected = 2.6 kcal/mol of atoms
1.0
4.402 0.000 0.000
-2.201 3.813 0.000
0.000 0.000 3.215
Br Sc Tc
1 1 1
direct
0.000 0.000 0.833
0.667 0.333 0.334
0.333 0.667 0.833

***

(5)
PBE Sc2TcBr, optimized geometry; DOS(E_F) = 0.8504 states/eV per atom; space-group type = No. 119; energy relative to the elements, uncorrected = 0.1 kcal/mol of atoms
1.0
-4.322 -0.215 -3.872
0.250 -2.932 -5.007
1.035 -0.630 5.679
Br Sc Tc
1 2 1
direct
0.750 0.250 0.500
0.000 0.000 0.000
0.250 0.750 0.500
0.500 0.500 0.000

***

(6)
PBE Sc2TcBr, optimized geometry; DOS(E_F) = 0.3038 states/eV per atom; space-group type = No. 65; energy relative to the elements, uncorrected = -13.6 kcal/mol of atoms
1.0
3.313 0.019 0.000
-0.348 3.295 0.000
0.000 0.000 7.550
Tc Sc Br
1 2 1
direct
0.500 0.500 0.250
0.000 0.000 0.049
0.000 0.000 0.451
0.500 0.500 0.750

***

(7)
PBE ScTcBr2, optimized geometry; DOS(E_F) = 0.6497 states/eV per atom; space-group type = No. 123; energy relative to the elements, uncorrected = 2.4 kcal/mol of atoms
1.0
-0.314 3.992 2.238
0.238 -2.226 4.003
3.386 0.289 -0.041
Br Tc Sc
2 1 1
direct
0.000 0.000 0.000
0.500 0.500 0.000
0.000 0.500 0.500
0.500 0.000 0.500

***

(8)
PBE ScTcBr2, optimized geometry; DOS(E_F) = 2.0613 states/eV per atom; space-group type = No. 225; energy relative to the elements, uncorrected = 3.2 kcal/mol of atoms
1.0
0.000 3.372 3.372
3.372 0.000 3.372
3.372 3.372 0.000
Br Tc Sc
2 1 1
direct
0.750 0.750 0.750
0.250 0.250 0.250
0.500 0.500 0.500
0.000 0.000 0.000

***

(9)
PBE ScTcBr, optimized geometry; DOS(E_F) = 1.9329 states/eV per atom; space-group type = No. 216; energy relative to the elements, uncorrected = 10.8 kcal/mol of atoms
1.0
4.379 0.000 0.000
2.190 3.793 0.000
2.190 1.264 3.576
Tc Br Sc
1 1 1
direct
0.250 0.250 0.250
0.000 0.000 0.000
0.500 0.500 0.500

***

(10)
PBE ScTcBr3, optimized geometry; DOS(E_F) = 2.4909 states/eV per atom; space-group type = No. 221; energy relative to the elements, uncorrected = -0.7 kcal/mol of atoms
1.0
-0.320 1.261 5.193
3.453 -3.922 1.165
4.079 3.420 -0.579
Br Tc Sc
3 1 1
direct
0.000 0.000 0.500
0.500 0.000 0.000
0.000 0.500 0.000
0.500 0.500 0.500
0.000 0.000 0.000

***

(11)
PBE ScTcBr2, optimized geometry; DOS(E_F) = 0.8431 states/eV per atom; space-group type = No. 65; energy relative to the elements, uncorrected = 5.2 kcal/mol of atoms
1.0
-2.079 -0.721 2.671
3.443 0.138 0.317
-0.532 8.770 1.953
Br Tc Sc
2 1 1
direct
0.000 0.000 0.491
0.000 0.000 0.009
0.500 0.500 0.750
0.500 0.500 0.250

***

(12)
PBE ScTc3Br, optimized geometry; DOS(E_F) = 1.2424 states/eV per atom; space-group type = No. 221; energy relative to the elements, uncorrected = 48.0 kcal/mol of atoms
1.0
4.785 0.000 0.000
0.000 4.785 0.000
0.000 0.000 4.785
Br Tc Sc
1 3 1
direct
0.500 0.500 0.500
0.500 0.000 0.000
0.000 0.000 0.500
0.000 0.500 0.000
0.000 0.000 0.000

***

(13)
PBE ScTc3Br, optimized geometry; DOS(E_F) = 1.3087 states/eV per atom; space-group type = No. 221; energy relative to the elements, uncorrected = 25.2 kcal/mol of atoms
1.0
4.555 0.000 0.000
0.000 4.555 0.000
0.000 0.000 4.555
Br Tc Sc
1 3 1
direct
0.000 0.000 0.000
0.000 0.000 0.500
0.000 0.500 0.000
0.500 0.000 0.000
0.500 0.500 0.500

***

(14)
PBE Sc2TcBr, optimized geometry; DOS(E_F) = 0.7977 states/eV per atom; space-group type = No. 166; energy relative to the elements, uncorrected = -12.0 kcal/mol of atoms
1.0
-2.681 -1.825 -1.015
0.332 -2.244 -2.531
1.121 -7.146 4.199
Br Sc Tc
1 2 1
direct
0.250 0.250 0.250
0.492 0.492 0.523
0.008 0.008 0.977
0.750 0.750 0.750

***

(15)
PBE Sc2TcBr, optimized geometry; DOS(E_F) = 0.6303 states/eV per atom; space-group type = No. 25; energy relative to the elements, uncorrected = -5.2 kcal/mol of atoms
1.0
-0.306 0.318 -3.377
-0.260 -4.286 -0.380
-5.653 0.295 0.541
Sc Br Tc
2 1 1
direct
0.500 0.500 0.333
0.000 0.000 0.958
0.500 0.500 0.830
0.000 0.000 0.378

***

(16)
PBE ScTcBr3, optimized geometry; DOS(E_F) = 1.5154 states/eV per atom; space-group type = No. 221; energy relative to the elements, uncorrected = 6.0 kcal/mol of atoms
1.0
-0.174 2.672 4.269
-4.848 1.066 -0.865
-1.362 -4.137 2.533
Br Sc Tc
3 1 1
direct
0.000 0.500 0.000
0.500 0.000 0.000
0.000 0.000 0.500
0.500 0.500 0.500
0.000 0.000 0.000

***

(17)
PBE ScTcBr2, optimized geometry; space-group type = No. 8; energy relative to the elements, uncorrected = -6.0 kcal/mol of atoms
1.0
5.918 0.077 -0.222
4.947 3.249 -0.222
0.128 0.039 5.707
Tc Br Sc
1 2 1
direct
0.156 0.156 0.341
0.786 0.786 0.558
0.015 0.015 0.999
0.542 0.542 0.602

***

(18)
PBE ScTcBr2, optimized geometry; DOS(E_F) = 0.6082 states/eV per atom; space-group type = No. 99; energy relative to the elements, uncorrected = -7.2 kcal/mol of atoms
1.0
3.208 0.000 0.000
0.000 3.208 0.000
0.000 0.000 8.844
Br Sc Tc
2 1 1
direct
0.500 0.500 0.323
0.000 0.000 0.906
0.000 0.000 0.525
0.500 0.500 0.746

***

(19)
PBE Sc2TcBr, optimized geometry; DOS(E_F) = 0.4706 states/eV per atom; space-group type = No. 123; energy relative to the elements, uncorrected = -13.6 kcal/mol of atoms
1.0
-1.842 -2.748 -0.034
2.361 -1.561 -1.714
3.195 -2.222 6.427
Tc Sc Br
1 2 1
direct
0.500 0.500 0.250
0.000 0.000 0.049
0.000 0.000 0.451
0.500 0.500 0.750

***

(20)
PBE Sc2TcBr, optimized geometry; DOS(E_F) = 0.8724 states/eV per atom; space-group type = No. 99; energy relative to the elements, uncorrected = 1.9 kcal/mol of atoms
1.0
-0.271 2.746 -1.795
-2.296 -1.445 -1.863
-5.945 2.789 5.163
Tc Br Sc
1 1 2
direct
0.000 0.000 0.444
0.500 0.500 0.793
0.500 0.500 0.271
0.000 0.000 0.992

***

(21)
PBE ScTcBr2, optimized geometry; DOS(E_F) = 0.7622 states/eV per atom; space-group type = No. 47; energy relative to the elements, uncorrected = 2.3 kcal/mol of atoms
1.0
-2.539 -1.965 0.190
1.149 -2.009 -5.431
2.585 -3.173 1.720
Br Tc Sc
2 1 1
direct
0.500 0.500 0.000
0.000 0.000 0.000
0.000 0.500 0.500
0.500 0.000 0.500

***

(22)
PBE ScTcBr2, optimized geometry; DOS(E_F) = 0.5794 states/eV per atom; space-group type = No. 160; energy relative to the elements, uncorrected = -9.5 kcal/mol of atoms
1.0
9.770 0.060 0.035
9.149 3.431 0.035
9.149 1.688 2.987
Br Sc Tc
2 1 1
direct
0.028 0.028 0.028
0.225 0.225 0.225
0.493 0.493 0.493
0.754 0.754 0.754

***

(23)
PBE ScTcBr2, optimized geometry; DOS(E_F) = 0.9498 states/eV per atom; space-group type = No. 166; energy relative to the elements, uncorrected = -0.6 kcal/mol of atoms
1.0
1.906 0.000 8.888
-0.953 1.651 8.888
-0.953 -1.651 8.888
Sc Tc Br
1 1 2
direct
0.500 0.500 0.500
0.000 0.000 0.000
0.905 0.905 0.905
0.095 0.095 0.095

***

(24)
PBE ScTcBr2, optimized geometry; DOS(E_F) = 0.6067 states/eV per atom; space-group type = No. 12; energy relative to the elements, uncorrected = -8.8 kcal/mol of atoms
1.0
7.612 0.075 -0.064
6.826 3.370 -0.064
0.371 0.089 4.395
Br Sc Tc
2 1 1
direct
0.109 0.109 0.961
0.391 0.391 0.539
0.750 0.750 0.750
0.250 0.250 0.250

***

(25)
PBE ScTcBr2, optimized geometry; space-group type = No. 6; energy relative to the elements, uncorrected = -10.9 kcal/mol of atoms
1.0
-2.878 -0.687 1.527
2.020 -0.838 3.428
0.062 7.097 3.311
Br Tc Sc
2 1 1
direct
0.000 0.827 0.916
0.500 0.208 0.348
0.500 0.959 0.675
0.000 0.506 0.561

***

(26)
PBE ScTcBr2, optimized geometry; DOS(E_F) = 0.3268 states/eV per atom; space-group type = No. 44; energy relative to the elements, uncorrected = -5.4 kcal/mol of atoms
1.0
8.152 0.079 -0.006
6.487 4.937 0.006
-7.156 -2.985 2.518
Sc Br Tc
1 2 1
direct
0.573 0.573 0.000
0.981 0.981 0.000
0.241 0.741 0.500
0.704 0.204 0.500

***

(27)
PBE Sc2TcBr, optimized geometry; DOS(E_F) = 1.2102 states/eV per atom; space-group type = No. 160; energy relative to the elements, uncorrected = 1.3 kcal/mol of atoms
1.0
9.916 0.000 0.000
9.380 3.218 0.000
9.380 1.564 2.812
Sc Tc Br
2 1 1
direct
0.243 0.243 0.243
0.007 0.007 0.007
0.511 0.511 0.511
0.739 0.739 0.739

***

(28)
PBE ScTcBr2, optimized geometry; DOS(E_F) = 0.8641 states/eV per atom; space-group type = No. 166; energy relative to the elements, uncorrected = 1.5 kcal/mol of atoms
1.0
10.127 0.028 0.017
9.538 3.403 0.017
9.538 1.664 2.968
Tc Br Sc
1 2 1
direct
0.750 0.750 0.750
0.978 0.978 0.978
0.522 0.522 0.522
0.250 0.250 0.250

***

(29)
PBE ScTcBr2, optimized geometry; DOS(E_F) = 0.8050 states/eV per atom; space-group type = No. 216; energy relative to the elements, uncorrected = 9.6 kcal/mol of atoms
1.0
-2.348 2.285 -3.659
-3.708 -2.239 -2.315
-4.607 1.577 0.644
Br Tc Sc
2 1 1
direct
0.250 0.250 0.250
0.000 0.000 0.000
0.750 0.750 0.750
0.500 0.500 0.500

***

(30)
PBE ScTcBr, optimized geometry; DOS(E_F) = 0.8545 states/eV per atom; space-group type = No. 156; energy relative to the elements, uncorrected = -0.3 kcal/mol of atoms
1.0
3.267 0.000 0.000
-1.633 2.829 0.000
0.000 0.000 6.807
Tc Sc Br
1 1 1
direct
0.333 0.667 0.623
0.667 0.333 0.334
0.000 0.000 0.043

***

(31)
PBE ScTcBr2, optimized geometry; DOS(E_F) = 1.0638 states/eV per atom; space-group type = No. 119; energy relative to the elements, uncorrected = 5.0 kcal/mol of atoms
1.0
-2.680 -2.038 -5.089
2.644 -3.109 -4.537
-0.584 0.227 6.070
Sc Br Tc
1 2 1
direct
0.500 0.500 0.000
0.750 0.250 0.500
0.000 0.000 0.000
0.250 0.750 0.500